# 1
Density functional theory data (PBE) for Cs2SrCuI6 after structural relaxation.

abc: 8.362 8.371 8.909
angles: 61.97 62.00 90.00
Each line ends with the local moment (μB).
Positions (direct):
Cs1 0.750 0.250 0.500  0.00
Cs2 0.250 0.750 0.500  0.00
Sr1 0.000 0.000 0.000  0.02
Cu1 0.500 0.500 0.000  0.24
I1 0.241 0.241 0.519  0.01
I2 0.725 0.724 0.000  0.06
I3 0.275 0.725 0.000  0.06
I4 0.725 0.275 0.000  0.06
I5 0.275 0.276 0.000  0.06
I6 0.759 0.759 0.481  0.01

Output
* uncorrected energy: -2.7673 eV/atom
* space-group type: No. 71
* energy relative to the elements, uncorrected: -1089 meV per atom

***

# 2
Density functional theory data (PBE) for La5Nd3Se8 after structural relaxation.

abc: 8.571 8.571 8.563
angles: 59.97 59.97 60.00
Positions (direct):
La1 0.500 0.000 0.000
La2 0.500 0.500 0.000
La3 0.000 0.000 0.000
La4 0.000 0.500 0.000
La5 0.500 0.500 0.500
Nd1 0.500 0.000 0.500
Nd2 0.000 0.000 0.500
Nd3 0.000 0.500 0.500
Se1 0.250 0.250 0.747
Se2 0.250 0.753 0.747
Se3 0.753 0.250 0.747
Se4 0.751 0.751 0.746
Se5 0.750 0.750 0.253
Se6 0.750 0.247 0.253
Se7 0.247 0.750 0.253
Se8 0.249 0.249 0.254

Output
* uncorrected energy: -6.1173 eV/atom
* space-group type: No. 166
* energy relative to the elements, uncorrected: -1941 meV per atom

***

# 3
Density functional theory data (PBE) for AcAgSeO5 after structural relaxation.

abc: 6.524 6.524 8.965
angles: 110.33 110.33 92.47
Positions (direct):
Ac1 0.000 0.000 0.500
Ac2 0.000 0.000 0.000
Ag1 0.307 0.693 0.250
Ag2 0.693 0.307 0.750
Se1 0.641 0.359 0.250
Se2 0.359 0.641 0.750
O1 0.084 0.916 0.250
O2 0.916 0.084 0.750
O3 0.757 0.274 0.105
O4 0.243 0.726 0.895
O5 0.726 0.243 0.395
O6 0.274 0.757 0.605
O7 0.696 0.638 0.348
O8 0.304 0.362 0.652
O9 0.362 0.304 0.152
O10 0.638 0.696 0.848

Output
* uncorrected energy: -5.8479 eV/atom
* space-group type: No. 15
* energy relative to the elements, uncorrected: -1443 meV per atom

***

# 4
Density functional theory data (PBE) for SbTe2Pt after structural relaxation.

abc: 3.425 3.425 9.603
angles: 90.00 90.00 114.79
Positions (direct):
Pt1 0.500 0.500 0.250
Sb1 0.500 0.500 0.750
Te1 0.000 0.000 0.046
Te2 0.000 0.000 0.454

Output
* uncorrected energy: -3.9009 eV/atom
* space-group type: No. 65
* energy relative to the elements, uncorrected: 211 meV per atom

***

# 5
Density functional theory data (PBE) for ZrAsIr after structural relaxation.

abc: 4.097 5.356 5.539
angles: 73.36 69.21 73.69
Positions (direct):
As1 0.232 0.383 0.784
As2 0.768 0.617 0.216
Ir1 0.892 0.223 0.596
Ir2 0.108 0.777 0.404
Zr1 0.582 0.168 0.189
Zr2 0.418 0.832 0.811

Output
* uncorrected energy: -8.0907 eV/atom
* space-group type: No. 2
* ΔE_f: -2.2 eV per formula unit

***

# 6
Density functional theory data (PBE) for Pu2Be2Au5 after structural relaxation.

abc: 4.323 4.323 9.266
angles: 90.00 90.00 90.00
Each line ends with the local moment (μB).
Positions (direct):
Pu1 0.000 0.000 0.000  5.25
Pu2 0.000 0.000 0.500  5.30
Be1 0.500 0.500 0.127  -0.02
Be2 0.500 0.500 0.873  -0.02
Au1 0.500 0.000 0.249  0.01
Au2 0.500 0.000 0.751  0.01
Au3 0.000 0.500 0.249  0.01
Au4 0.000 0.500 0.751  0.01
Au5 0.500 0.500 0.500  0.01

Output
* uncorrected energy: -6.0713 eV/atom
* space-group type: No. 123
* ΔE_f: -2.1 eV per formula unit

***

# 7
Density functional theory data (PBE) for CsLa3Sb after structural relaxation.

abc: 5.802 5.802 5.802
angles: 90.00 90.00 90.00
Positions (direct):
Cs1 0.000 0.000 0.000
Sb1 0.500 0.500 0.500
La1 0.000 0.500 0.000
La2 0.000 0.000 0.500
La3 0.500 0.000 0.000

Output
* uncorrected energy: -3.2041 eV/atom
* space-group type: No. 221
* energy relative to the elements, uncorrected: 748 meV per atom

***

# 8
Density functional theory data (PBE) for Te5Ru3 after structural relaxation.

abc: 8.074 8.073 8.271
angles: 100.32 100.32 129.29
Positions (direct):
Ru1 0.757 0.742 0.000
Ru2 0.257 0.242 0.000
Ru3 0.335 0.165 0.500
Ru4 0.621 0.879 0.500
Ru5 0.130 0.617 0.747
Ru6 0.883 0.370 0.253
Te1 0.244 0.766 0.500
Te2 0.733 0.255 0.500
Te3 0.801 0.063 0.865
Te4 0.206 0.937 0.143
Te5 0.701 0.555 0.256
Te6 0.305 0.424 0.729
Te7 0.563 0.293 0.857
Te8 0.437 0.698 0.135
Te9 0.076 0.195 0.271
Te10 0.945 0.799 0.744

Output
* uncorrected energy: -5.1742 eV/atom
* space-group type: No. 42
* energy relative to the elements, uncorrected: 268 meV per atom

***

# 9
Density functional theory data (PBE) for LaSm2Dy5 after structural relaxation.

abc: 3.568 11.210 8.845
angles: 129.32 101.64 90.00
Positions (direct):
La1 0.000 0.000 0.000
Sm1 0.256 0.756 0.513
Sm2 0.744 0.244 0.487
Dy1 0.000 0.500 0.000
Dy2 0.633 0.404 0.266
Dy3 0.367 0.596 0.734
Dy4 0.633 0.862 0.266
Dy5 0.367 0.138 0.734

Output
* uncorrected energy: -4.6430 eV/atom
* space-group type: No. 71
* ΔE_f: 0.2 eV per formula unit

***

# 10
Density functional theory data (PBE) for Nd3MgCu8 after structural relaxation.

abc: 5.280 5.280 9.154
angles: 73.24 73.24 60.00
Positions (direct):
Nd1 0.379 0.379 0.862
Nd2 0.994 0.994 0.017
Nd3 0.504 0.504 0.487
Mg1 0.872 0.872 0.385
Cu1 0.943 0.432 0.193
Cu2 0.444 0.937 0.682
Cu3 0.432 0.432 0.193
Cu4 0.937 0.937 0.682
Cu5 0.188 0.188 0.435
Cu6 0.687 0.687 0.940
Cu7 0.432 0.943 0.193
Cu8 0.937 0.444 0.682

Output
* uncorrected energy: -4.1852 eV/atom
* space-group type: No. 160
* ΔE_f: -1.6 eV per formula unit

***

# 11
Density functional theory data (PBE) for MnRu2Br after structural relaxation.

abc: 3.056 3.056 6.613
angles: 90.00 90.00 90.00
Each line ends with the local moment (μB).
Positions (direct):
Br1 0.500 0.500 0.250  -0.04
Mn1 0.500 0.500 0.750  2.64
Ru1 0.000 0.000 0.957  -0.29
Ru2 0.000 0.000 0.543  -0.29

Output
* uncorrected energy: -6.8479 eV/atom
* space-group type: No. 123
* energy relative to the elements, uncorrected: 501 meV per atom

***

# 12
Density functional theory data (PBE) for SrCaAg after structural relaxation.

abc: 4.442 4.442 6.906
angles: 90.00 90.00 120.00
Positions (direct):
Sr1 0.333 0.667 0.736
Ca1 0.667 0.333 0.248
Ag1 0.000 0.000 0.015

Output
* uncorrected energy: -2.2832 eV/atom
* space-group type: No. 156
* ΔE_f: -0.3 eV per formula unit

***

Calculated values (μB per atom) of total magnetization for the records, taken in order: 0.066; 0.000; 0.000; 0.000; 0.000; 1.218; 0.001; 0.000; 0.000; 0.000; 0.527; 0.000.